VASP calculation (GGA-PBEsol) on a relaxed structure of Zn2PtRh.

Properties
Raw total energy (eV per cell): -20.203

Cell: 3.001 3.001 5.974 Å, 90.00 90.00 90.00°
Positions (direct):
Zn1 0.000 0.000 0.259
Zn2 0.000 0.000 0.741
Pt1 0.500 0.500 0.000
Rh1 0.500 0.500 0.500